A plane-wave DFT calculation with PBE was carried out for crystalline Ac2C3N6 at its relaxed geometry. Values from VASP.

Values from the calculation:
E_form (uncorrected): -0.794 eV/atom
Final energy: -94.58 eV per cell

Cell and atoms, written as Quantum ESPRESSO input:
```
&SYSTEM
  ibrav = 0, nat = 11, ntyp = 3
/
ATOMIC_SPECIES
Ac 227.00 Ac.upf
C 12.01 C.upf
N 14.01 N.upf
CELL_PARAMETERS angstrom
-2.5260 0.8142 3.3396
-4.2091 -2.3055 -2.6216
3.9326 -6.9186 1.9369
ATOMIC_POSITIONS angstrom
Ac -3.2097 -6.4718 1.8745
Ac 0.4071 -1.9380 0.7804
C 0.0424 -5.2066 1.3015
C -2.8450 -3.2032 1.3534
C -2.1046 -1.1527 -1.3108
N 0.2173 -6.6265 4.5043
N -3.7295 -3.9360 0.8631
N -1.9622 -2.5158 1.8536
N -3.0199 -1.7834 -1.8494
N 0.9269 -4.4738 1.7918
N -0.8404 -5.8940 0.8014
```

A plane-wave DFT calculation with PBE was carried out for crystalline Ac2CN3 at its relaxed geometry. Values from VASP.

Values from the calculation:
E_form (uncorrected): -0.610 eV/atom
Energy above the most stable polymorph in this dataset: 0.121 eV per atom
Final energy: -92.15 eV per cell

Cell and atoms, written as Quantum ESPRESSO input:
```
&SYSTEM
  ibrav = 0, nat = 12, ntyp = 3
/
ATOMIC_SPECIES
Ac 227.00 Ac.upf
C 12.01 C.upf
N 14.01 N.upf
CELL_PARAMETERS angstrom
-2.6332 -0.9063 -9.6026
-3.6562 -0.8872 4.1447
1.4868 4.8294 2.3467
ATOMIC_POSITIONS angstrom
Ac -2.6733 1.5388 1.8589
Ac -4.7433 -1.3332 -4.1004
Ac -2.1293 1.4971 -4.9701
Ac -0.0593 4.3692 0.9892
C -3.4629 0.7565 -2.6119
C -1.3397 2.2795 -0.4994
N -3.8956 -0.5954 0.4319
N -1.3393 3.6272 3.3093
N -0.9070 3.6314 -3.5432
N -3.4633 -0.5913 -6.4205
N -0.3556 1.6963 0.0474
N -4.4470 1.3397 -3.1586
```

A plane-wave DFT calculation with PBE was carried out for crystalline AcCN at its relaxed geometry. Values from VASP.

Values from the calculation:
E_form (uncorrected): -0.498 eV/atom
Energy above the most stable polymorph in this dataset: 0.000 eV per atom
Final energy: -23.15 eV per cell

Cell and atoms, written as Quantum ESPRESSO input:
```
&SYSTEM
  ibrav = 0, nat = 3, ntyp = 3
/
ATOMIC_SPECIES
Ac 227.00 Ac.upf
C 12.01 C.upf
N 14.01 N.upf
CELL_PARAMETERS angstrom
-1.3207 0.7455 3.7110
-2.7783 -2.8603 -0.4141
4.1526 -1.1583 -0.4549
ATOMIC_POSITIONS angstrom
Ac -1.5554 -1.5779 1.9289
C 0.8966 -0.9446 0.5089
N 0.0815 -0.0858 0.0462
```

A plane-wave DFT calculation with PBE was carried out for crystalline Ac5CN6 at its relaxed geometry. Values from VASP.

Values from the calculation:
E_form (uncorrected): -0.167 eV/atom
Final energy: -81.72 eV per cell

Cell and atoms, written as Quantum ESPRESSO input:
```
&SYSTEM
  ibrav = 0, nat = 12, ntyp = 3
/
ATOMIC_SPECIES
Ac 227.00 Ac.upf
C 12.01 C.upf
N 14.01 N.upf
CELL_PARAMETERS angstrom
-3.3979 -4.0630 4.0225
2.1781 -6.3226 -0.6847
4.9433 -2.2823 3.8014
ATOMIC_POSITIONS angstrom
Ac 2.0059 -4.5963 4.4811
Ac 2.4012 -2.8621 1.0683
Ac -0.6099 -5.1928 1.6689
Ac 4.7203 -5.7428 2.0484
Ac 1.7177 -8.0717 2.6581
C 0.0000 0.0000 0.0000
N -0.4979 -4.3682 4.2922
N 2.1047 -5.3728 2.0844
N -0.3093 -2.8347 0.8890
N -0.9105 -7.5509 2.4488
N 1.6189 -7.2951 5.0547
N 4.2215 -8.2997 2.8470
```

A plane-wave DFT calculation with PBE was carried out for crystalline AcCN2 at its relaxed geometry. Values from VASP.

Values from the calculation:
E_form (uncorrected): -0.663 eV/atom
Energy above the most stable polymorph in this dataset: 0.000 eV per atom
Final energy: -130.54 eV per cell

Cell and atoms, written as Quantum ESPRESSO input:
```
&SYSTEM
  ibrav = 0, nat = 16, ntyp = 3
/
ATOMIC_SPECIES
Ac 227.00 Ac.upf
C 12.01 C.upf
N 14.01 N.upf
CELL_PARAMETERS angstrom
-1.0125 3.8579 0.8919
-2.3486 -1.6436 4.4436
10.8877 1.4068 6.2748
ATOMIC_POSITIONS angstrom
Ac 3.2723 1.0423 3.8888
Ac 8.8658 1.8504 6.7430
Ac 4.2543 2.5788 7.7215
Ac -1.3392 1.7707 4.8673
C 6.0891 1.5602 4.8460
C 0.2552 0.5838 2.4466
C 1.4375 2.0609 6.7643
C 7.2714 3.0373 9.1637
N 4.9308 0.2950 9.0041
N 0.6584 0.4113 3.6504
N 2.5958 3.3261 2.6062
N 6.8683 3.2098 7.9598
N 5.2293 1.1381 5.6959
N 0.4856 0.9246 1.2339
N 2.2973 2.4830 5.9143
N 7.0411 2.6965 10.3764
```

A plane-wave DFT calculation with PBE was carried out for crystalline Ac2CN3 at its relaxed geometry. Values from VASP.

Values from the calculation:
E_form (uncorrected): -0.731 eV/atom
Energy above the most stable polymorph in this dataset: 0.000 eV per atom
Final energy: -93.61 eV per cell

Cell and atoms, written as Quantum ESPRESSO input:
```
&SYSTEM
  ibrav = 0, nat = 12, ntyp = 3
/
ATOMIC_SPECIES
Ac 227.00 Ac.upf
C 12.01 C.upf
N 14.01 N.upf
CELL_PARAMETERS angstrom
-5.3591 1.9208 2.7277
2.6294 -4.5525 3.4945
4.3217 5.3190 -0.1208
ATOMIC_POSITIONS angstrom
Ac 2.7931 -0.2746 3.2424
Ac -2.0290 -1.9561 4.6250
Ac -1.2012 2.9620 2.8590
Ac -0.7007 -0.6756 1.5973
C -0.1089 0.3846 4.3813
C 1.7009 2.3028 1.7201
N 0.4190 -0.8682 4.0830
N 2.9911 2.0822 2.1929
N 1.1730 3.5555 2.0184
N -1.3992 0.6051 3.9085
N 0.9960 1.3485 1.0073
N 0.5960 1.3389 5.0941
```

> Look up the E_form (uncorrected) of the first one.

-0.794 eV/atom

What did the fifth record say?
A plane-wave DFT calculation with PBE was carried out for crystalline AcCN2 at its relaxed geometry. Values from VASP.

Values from the calculation:
E_form (uncorrected): -0.663 eV/atom
Energy above the most stable polymorph in this dataset: 0.000 eV per atom
Final energy: -130.54 eV per cell

Cell and atoms, written as Quantum ESPRESSO input:
```
&SYSTEM
  ibrav = 0, nat = 16, ntyp = 3
/
ATOMIC_SPECIES
Ac 227.00 Ac.upf
C 12.01 C.upf
N 14.01 N.upf
CELL_PARAMETERS angstrom
-1.0125 3.8579 0.8919
-2.3486 -1.6436 4.4436
10.8877 1.4068 6.2748
ATOMIC_POSITIONS angstrom
Ac 3.2723 1.0423 3.8888
Ac 8.8658 1.8504 6.7430
Ac 4.2543 2.5788 7.7215
Ac -1.3392 1.7707 4.8673
C 6.0891 1.5602 4.8460
C 0.2552 0.5838 2.4466
C 1.4375 2.0609 6.7643
C 7.2714 3.0373 9.1637
N 4.9308 0.2950 9.0041
N 0.6584 0.4113 3.6504
N 2.5958 3.3261 2.6062
N 6.8683 3.2098 7.9598
N 5.2293 1.1381 5.6959
N 0.4856 0.9246 1.2339
N 2.2973 2.4830 5.9143
N 7.0411 2.6965 10.3764
```